VASP calculation (PBE) on MnAl8Pt2 after structural relaxation.

```
MnAl8Pt2
1.0
-2.013 3.630 5.741
2.013 -3.630 5.741
2.013 3.630 -5.741
Mn Al Pt
1 8 2
direct
0.000 0.000 0.000
0.114 0.843 0.271
0.141 0.641 0.500
0.297 0.500 0.797
0.428 0.157 0.271
0.572 0.843 0.729
0.703 0.500 0.203
0.859 0.359 0.500
0.886 0.157 0.729
0.311 0.311 0.000
0.689 0.689 0.000
```

* E_form: -0.503 eV/atom
* Fermi-level density of states: 3.82 states/eV/f.u.
* final energy: -5.157 eV/atom